Entry 1:
Density functional theory data (PBE-GGA) for crystalline ZrCrSi at its relaxed geometry.

It has space group Immm (No. 71), with a = 3.3925 Å, b = 5.2718 Å, c = 10.6354 Å, α = 90.00°, β = 90.00° and γ = 90.00°. The distinct sites, in fractional coordinates, are Zr at (0.0000, 0.0000, 0.1909), Cr at (0.0000, 0.2719, 0.5000) and Si at (0.0000, 0.5000, 0.1106).

The value obtained for the density is 6.0 g cm⁻³. The value obtained for the density of states at the Fermi level is 1.3 states/eV/f.u. The total energy comes out at -99.91 eV for the cell shown.

***

Entry 2:
Density functional theory data (PBE-GGA) for crystalline ZrCrSi at its relaxed geometry.

It has space group I4/mmm (No. 139), with a = 3.7191 Å, b = 3.7191 Å, c = 13.9855 Å, α = 90.00°, β = 90.00° and γ = 90.00°. The distinct sites, in fractional coordinates, are Zr at (0.0000, 0.0000, 0.1741), Cr at (0.0000, 0.5000, 0.0000) and Si at (0.0000, 0.0000, 0.3775).

The value obtained for the density is 5.9 g cm⁻³. The value obtained for the density of states at the Fermi level is 2.0 states/eV/f.u. The total energy comes out at -101.55 eV for the cell shown.

***

Entry 3:
Density functional theory data (PBE-GGA) for crystalline Zr2CrSi at its relaxed geometry.

It has space group Fm-3m (No. 225), with a = 6.5300 Å, b = 6.5300 Å, c = 6.5300 Å, α = 90.00°, β = 90.00° and γ = 90.00°. The distinct sites, in fractional coordinates, are Zr at (0.2500, 0.2500, 0.2500), Cr at (0.0000, 0.0000, 0.0000) and Si at (0.0000, 0.0000, 0.5000).

Its energy above the most stable polymorph in this dataset is 0.218 eV/atom. The value obtained for the density is 6.3 g cm⁻³. The value obtained for the density of states at the Fermi level is 1.4 states/eV/f.u. The total energy comes out at -131.32 eV for the cell shown.

***

Entry 4:
Density functional theory data (PBE-GGA) for crystalline ZrCrSi at its relaxed geometry.

It has space group F-43m (No. 216), with a = 6.3125 Å, b = 6.3125 Å, c = 6.3125 Å, α = 90.00°, β = 90.00° and γ = 90.00°. The distinct sites, in fractional coordinates, are Zr at (0.0000, 0.0000, 0.0000), Cr at (0.2500, 0.2500, 0.2500) and Si at (0.2500, 0.2500, 0.7500).

The value obtained for the density is 4.5 g cm⁻³. The value obtained for the density of states at the Fermi level is 2.3 states/eV/f.u. The total energy comes out at -87.37 eV for the cell shown.

***

Entry 5:
Density functional theory data (PBE-GGA) for crystalline Zr3CrSi at its relaxed geometry.

It has space group Pm-3m (No. 221), with a = 4.7746 Å, b = 4.7746 Å, c = 4.7746 Å, α = 90.00°, β = 90.00° and γ = 90.00°. The distinct sites, in fractional coordinates, are Zr at (0.0000, 0.0000, 0.5000), Cr at (0.0000, 0.0000, 0.0000) and Si at (0.5000, 0.5000, 0.5000).

Its energy above the most stable polymorph in this dataset is 0.000 eV/atom. The value obtained for the density is 5.4 g cm⁻³. The value obtained for the density of states at the Fermi level is 8.2 states/eV/f.u. The total energy comes out at -38.03 eV for the cell shown.

***

Entry 6:
Density functional theory data (PBE-GGA) for crystalline ZrCrSi at its relaxed geometry.

It has space group P2_1/m (No. 11), with a = 3.4363 Å, b = 3.8582 Å, c = 7.2893 Å, α = 90.00°, β = 93.17° and γ = 90.00°. The distinct sites, in fractional coordinates, are Zr at (0.0171, 0.2500, 0.2253), Cr at (0.4207, 0.2500, 0.5691) and Si at (0.4980, 0.2500, 0.9034).

The value obtained for the density is 5.9 g cm⁻³. The value obtained for the density of states at the Fermi level is 1.3 states/eV/f.u. The total energy comes out at -48.69 eV for the cell shown.

***

Entry 7:
Density functional theory data (PBE-GGA) for crystalline ZrCrSi at its relaxed geometry.

It has space group Pmmn (No. 59, origin choice 2), with a = 3.4403 Å, b = 3.8865 Å, c = 7.0338 Å, α = 90.00°, β = 90.00° and γ = 90.00°. The distinct sites, in fractional coordinates, are Zr at (0.2500, 0.2500, 0.1479), Cr at (0.2500, 0.7500, 0.5066) and Si at (0.2500, 0.2500, 0.7385).

The value obtained for the density is 6.0 g cm⁻³. The value obtained for the density of states at the Fermi level is 1.9 states/eV/f.u. The total energy comes out at -50.74 eV for the cell shown.

***

Entry 8:
Density functional theory data (PBE-GGA) for crystalline ZrCrSi at its relaxed geometry.

It has space group F-43m (No. 216), with a = 6.1036 Å, b = 6.1036 Å, c = 6.1036 Å, α = 90.00°, β = 90.00° and γ = 90.00°. The distinct sites, in fractional coordinates, are Zr at (0.0000, 0.0000, 0.0000), Cr at (0.0000, 0.0000, 0.5000) and Si at (0.2500, 0.2500, 0.2500).

The value obtained for the density is 5.0 g cm⁻³. The value obtained for the density of states at the Fermi level is 2.9 states/eV/f.u. The total energy comes out at -94.64 eV for the cell shown.

***

Entry 9:
Density functional theory data (PBE-GGA) for crystalline Zr2Cr3Si at its relaxed geometry.

It has space group P6_3/mmc (No. 194), with a = 4.9870 Å, b = 4.9870 Å, c = 8.4039 Å, α = 90.00°, β = 90.00° and γ = 120.00°. The distinct sites, in fractional coordinates, are Zr at (0.3333, 0.6667, 0.0643), Cr at (0.1713, 0.3426, 0.7500) and Si at (0.0000, 0.0000, 0.0000).

The value obtained for the density is 6.7 g cm⁻³. The value obtained for the density of states at the Fermi level is 4.7 states/eV/f.u. The total energy comes out at -106.68 eV for the cell shown.

***

Entry 10:
Density functional theory data (PBE-GGA) for crystalline ZrCr4Si at its relaxed geometry.

It has space group F-43m (No. 216), with a = 6.8826 Å, b = 6.8826 Å, c = 6.8826 Å, α = 90.00°, β = 90.00° and γ = 90.00°. The distinct sites, in fractional coordinates, are Zr at (0.0000, 0.0000, 0.0000), Cr at (0.1237, 0.1237, 0.6237) and Si at (0.2500, 0.2500, 0.2500).

The value obtained for the density is 6.7 g cm⁻³. The value obtained for the density of states at the Fermi level is 4.1 states/eV/f.u. The total energy comes out at -210.11 eV for the cell shown.

***

Entry 11:
Density functional theory data (PBE-GGA) for crystalline ZrCrSi at its relaxed geometry.

It has space group P-6m2 (No. 187), with a = 4.2166 Å, b = 4.2166 Å, c = 3.2243 Å, α = 90.00°, β = 90.00° and γ = 120.00°. The distinct sites, in fractional coordinates, are Zr at (0.0000, 0.0000, 0.0000), Cr at (0.3333, 0.6667, 0.5000) and Si at (0.6667, 0.3333, 0.5000).

The value obtained for the density is 5.7 g cm⁻³. The value obtained for the density of states at the Fermi level is 2.1 states/eV/f.u. The total energy comes out at -24.31 eV for the cell shown.

***

Entry 12:
Density functional theory data (PBE-GGA) for crystalline Zr2CrSi at its relaxed geometry.

It has space group Pmmm (No. 47), with a = 3.3942 Å, b = 3.4137 Å, c = 6.0073 Å, α = 90.00°, β = 90.00° and γ = 90.00°. The distinct sites, in fractional coordinates, are Zr at (0.0000, 0.0000, 0.2496), Cr at (0.5000, 0.5000, 0.0000) and Si at (0.5000, 0.5000, 0.5000).

Its energy above the most stable polymorph in this dataset is 0.143 eV/atom. The value obtained for the density is 6.3 g cm⁻³. The value obtained for the density of states at the Fermi level is 2.0 states/eV/f.u. The total energy comes out at -33.13 eV for the cell shown.

***

Number 1: volume 190.2 Å³ per cell. Number 2: volume 193.4 Å³ per cell. Number 3: volume 278.4 Å³ per cell. Number 4: volume 251.5 Å³ per cell. Number 5: volume 108.8 Å³ per cell. Number 6: volume 96.5 Å³ per cell. Number 7: volume 94.0 Å³ per cell. Number 8: volume 227.4 Å³ per cell. Number 9: volume 181.0 Å³ per cell. Number 10: volume 326.0 Å³ per cell. Number 11: volume 49.6 Å³ per cell. Number 12: volume 69.6 Å³ per cell.